# MnNb4 (PBE-GGA, relaxed)
data_MnNb4
_cell_length_a 4.590
_cell_length_b 4.590
_cell_length_c 4.590
_cell_angle_alpha 90.00
_cell_angle_beta 90.00
_cell_angle_gamma 90.00
_space_group_name_H-M_alt 'P 1'
_space_group_IT_number 1
loop_
_space_group_symop_operation_xyz
'x,y,z'
loop_
_atom_site_label
_atom_site_fract_x
_atom_site_fract_y
_atom_site_fract_z
Nb1 0.500 0.500 0.000
Nb2 0.000 0.000 0.000
Nb3 0.500 0.000 0.500
Nb4 0.000 0.500 0.500
Mn1 0.500 0.500 0.500
# DFT formation energy: 756 meV per atom
# V: 19.34 Å³ per atom
# SG: Pm-3m
# distance to the lowest polymorph of the same formula: 422 meV/atom

# MnNb (PBE-GGA, relaxed)
data_MnNb
_cell_length_a 5.555
_cell_length_b 5.555
_cell_length_c 5.555
_cell_angle_alpha 90.00
_cell_angle_beta 90.00
_cell_angle_gamma 90.00
_space_group_name_H-M_alt 'P 1'
_space_group_IT_number 1
loop_
_space_group_symop_operation_xyz
'x,y,z'
loop_
_atom_site_label
_atom_site_fract_x
_atom_site_fract_y
_atom_site_fract_z
Mn1 0.750 0.250 0.750
Mn2 0.750 0.750 0.250
Mn3 0.250 0.250 0.250
Mn4 0.250 0.750 0.750
Nb1 0.000 0.000 0.000
Nb2 0.500 0.500 0.000
Nb3 0.000 0.500 0.500
Nb4 0.500 0.000 0.500
# DFT formation energy: 1816 meV per atom
# V: 21.43 Å³ per atom
# SG: F-43m

# MnNb4 (PBE-GGA, relaxed)
data_MnNb4
_cell_length_a 6.233
_cell_length_b 6.233
_cell_length_c 6.233
_cell_angle_alpha 104.64
_cell_angle_beta 104.64
_cell_angle_gamma 119.64
_space_group_name_H-M_alt 'P 1'
_space_group_IT_number 1
loop_
_space_group_symop_operation_xyz
'x,y,z'
loop_
_atom_site_label
_atom_site_fract_x
_atom_site_fract_y
_atom_site_fract_z
Nb1 0.095 0.388 0.707
Nb2 0.612 0.905 0.293
Nb3 0.681 0.388 0.293
Nb4 0.138 0.345 0.207
Nb5 0.612 0.319 0.707
Nb6 0.069 0.862 0.207
Nb7 0.138 0.931 0.793
Nb8 0.655 0.862 0.793
Mn1 0.500 0.500 0.000
Mn2 0.250 0.750 0.500
# DFT formation energy: 334 meV per atom
# V: 18.19 Å³ per atom
# SG: I4_1/amd
# distance to the lowest polymorph of the same formula: 0 meV/atom

# MnNb (PBE-GGA, relaxed)
data_MnNb
_cell_length_a 5.059
_cell_length_b 5.059
_cell_length_c 5.059
_cell_angle_alpha 90.00
_cell_angle_beta 90.00
_cell_angle_gamma 90.00
_space_group_name_H-M_alt 'P 1'
_space_group_IT_number 1
loop_
_space_group_symop_operation_xyz
'x,y,z'
loop_
_atom_site_label
_atom_site_fract_x
_atom_site_fract_y
_atom_site_fract_z
Nb1 0.000 0.500 0.000
Nb2 0.500 0.500 0.500
Nb3 0.000 0.000 0.500
Nb4 0.500 0.000 0.000
Mn1 0.500 0.000 0.500
Mn2 0.000 0.000 0.000
Mn3 0.500 0.500 0.000
Mn4 0.000 0.500 0.500
# DFT formation energy: 621 meV per atom
# V: 16.18 Å³ per atom
# SG: Fm-3m

# Mn6Nb (PBE-GGA, relaxed)
data_Mn6Nb
_cell_length_a 4.598
_cell_length_b 7.713
_cell_length_c 9.634
_cell_angle_alpha 90.00
_cell_angle_beta 90.00
_cell_angle_gamma 90.00
_space_group_name_H-M_alt 'P 1'
_space_group_IT_number 1
loop_
_space_group_symop_operation_xyz
'x,y,z'
loop_
_atom_site_label
_atom_site_fract_x
_atom_site_fract_y
_atom_site_fract_z
Nb1 0.250 0.256 0.440
Nb2 0.750 0.244 0.940
Nb3 0.750 0.744 0.560
Nb4 0.250 0.756 0.060
Mn1 0.012 0.926 0.307
Mn2 0.750 0.093 0.475
Mn3 0.988 0.574 0.807
Mn4 0.512 0.574 0.807
Mn5 0.250 0.407 0.975
Mn6 0.750 0.187 0.243
Mn7 0.988 0.074 0.693
Mn8 0.750 0.443 0.422
Mn9 0.250 0.813 0.757
Mn10 0.488 0.926 0.307
Mn11 0.250 0.907 0.525
Mn12 0.250 0.313 0.743
Mn13 0.250 0.057 0.922
Mn14 0.250 0.136 0.150
Mn15 0.488 0.426 0.193
Mn16 0.250 0.636 0.350
Mn17 0.750 0.593 0.025
Mn18 0.750 0.864 0.850
Mn19 0.750 0.943 0.078
Mn20 0.512 0.074 0.693
Mn21 0.750 0.687 0.257
Mn22 0.250 0.557 0.578
Mn23 0.750 0.364 0.650
Mn24 0.012 0.426 0.193
# DFT formation energy: -2 meV per atom
# V: 12.20 Å³ per atom
# SG: Pnma
# distance to the lowest polymorph of the same formula: 0 meV/atom

# Mn2Nb (PBE-GGA, relaxed)
data_Mn2Nb
_cell_length_a 4.815
_cell_length_b 4.815
_cell_length_c 7.918
_cell_angle_alpha 90.00
_cell_angle_beta 90.00
_cell_angle_gamma 120.00
_space_group_name_H-M_alt 'P 1'
_space_group_IT_number 1
loop_
_space_group_symop_operation_xyz
'x,y,z'
loop_
_atom_site_label
_atom_site_fract_x
_atom_site_fract_y
_atom_site_fract_z
Mn1 0.657 0.829 0.750
Mn2 0.171 0.829 0.750
Mn3 0.829 0.657 0.250
Mn4 0.000 0.000 0.000
Mn5 0.829 0.171 0.250
Mn6 0.343 0.171 0.250
Mn7 0.000 0.000 0.500
Mn8 0.171 0.343 0.750
Nb1 0.333 0.667 0.063
Nb2 0.333 0.667 0.437
Nb3 0.667 0.333 0.563
Nb4 0.667 0.333 0.937
# DFT formation energy: -147 meV per atom
# V: 13.25 Å³ per atom
# SG: P6_3/mmc